Entry 1:
VASP calculation (PBE-GGA) on a relaxed structure of Pm2NpRu2.

abc: 5.8836 5.8836 7.8595
angles: 98.52 98.52 61.33
With the nearest neighbours (Å) after each atom.
Positions (direct):
Pm (0.0260, 0.2768, 0.1521)  6 Ru 3.17-3.24, 3 Np 3.48-3.53
Pm (0.2768, 0.0260, 0.6521)  6 Ru 3.17-3.24, 3 Np 3.48-3.53
Pm (0.7232, 0.9740, 0.3479)  6 Ru 3.17-3.24, 3 Np 3.48-3.53
Pm (0.9740, 0.7232, 0.8479)  6 Ru 3.17-3.24, 3 Np 3.48-3.53
Np (0.3712, 0.6288, 0.2500)  4 Ru 2.43-2.70
Np (0.6288, 0.3712, 0.7500)  4 Ru 2.43-2.70
Ru (0.2470, 0.5044, 0.4883)  2 Np 2.43-2.70
Ru (0.4956, 0.7530, 0.0117)  2 Np 2.43-2.70
Ru (0.5044, 0.2470, 0.9883)  2 Np 2.43-2.70
Ru (0.7530, 0.4956, 0.5117)  2 Np 2.43-2.70

## Properties
**SG**: No. 15
**DFT total energy**: -8.4334 eV per atom
**Spin magnetization**: 6.00 μB/cell


Entry 2:
VASP calculation (PBE-GGA) on a relaxed structure of Hf2Zr3Al.

abc: 5.7644 6.1433 7.6985
angles: 90.00 103.37 90.00
With the nearest neighbours (Å) after each atom.
Positions (direct):
Hf (0.0896, 0.0029, 0.3193)  3 Hf 3.04-3.18, 2 Al 3.09-3.10, 7 Zr 3.11-3.31
Hf (0.0896, 0.4971, 0.3193)  3 Hf 3.04-3.18, 2 Al 3.09-3.10, 7 Zr 3.11-3.31
Hf (0.9104, 0.5029, 0.6807)  3 Hf 3.04-3.18, 2 Al 3.09-3.10, 7 Zr 3.11-3.31
Hf (0.9104, 0.9971, 0.6807)  3 Hf 3.04-3.18, 2 Al 3.09-3.10, 7 Zr 3.11-3.31
Zr (0.2795, 0.7500, 0.9996)  4 Al 2.84-3.10, 2 Zr 2.87-2.93
Zr (0.3776, 0.2500, 0.6534)  4 Zr 2.93-3.07, 1 Al 3.04, 4 Hf 3.11-3.16
Zr (0.3942, 0.7500, 0.6558)  4 Zr 2.87-3.07, 1 Al 3.06, 2 Hf 3.18
Zr (0.6058, 0.2500, 0.3442)  4 Zr 2.87-3.07, 1 Al 3.06, 2 Hf 3.18
Zr (0.6224, 0.7500, 0.3466)  4 Zr 2.93-3.07, 1 Al 3.04, 4 Hf 3.11-3.16
Zr (0.7205, 0.2500, 0.0004)  4 Al 2.84-3.10, 2 Zr 2.87-2.93
Al (0.2127, 0.2500, 0.0008)  6 Zr 2.84-3.10, 4 Hf 3.09-3.10
Al (0.7873, 0.7500, 0.9992)  6 Zr 2.84-3.10, 4 Hf 3.09-3.10

## Properties
**SG**: No. 11
**DFT total energy**: -8.2911 eV per atom
**Spin magnetization**: 0.00 μB/cell